A plane-wave DFT calculation with PBE-GGA was carried out for an optimized crystal structure of InSnPd5.

Cell lengths 4.715, 4.715, 11.654 Å; angles 90.00, 90.00, 76.47 degrees
Fractional positions:
In (0.026, 0.974, 0.750)
In (0.974, 0.026, 0.250)
Sn (0.500, 0.500, 0.000)
Sn (0.500, 0.500, 0.500)
Pd (0.010, 0.473, 0.621)
Pd (0.010, 0.473, 0.879)
Pd (0.473, 0.010, 0.121)
Pd (0.473, 0.010, 0.379)
Pd (0.491, 0.509, 0.250)
Pd (0.509, 0.491, 0.750)
Pd (0.527, 0.990, 0.621)
Pd (0.527, 0.990, 0.879)
Pd (0.990, 0.527, 0.121)
Pd (0.990, 0.527, 0.379)

Calculated values
magnetization	0.0	Bohr magnetons per cell
space-group type	Cmcm
ΔH_f (0 K)	-0.43	eV per atom